Here is a geometry-optimized Mn2SbO2 structure from the Alexandria database. Energies are from PBE with a Hubbard U.

Lattice parameters (Å, degrees): 5.928 5.928 5.799 107.37 107.37 111.78
Site moments in Bohr magnetons follow the coordinates.
Element x y z (fractional)
Mn 0.219 0.281 0.750  4.50
Mn 0.459 0.041 0.250  4.50
Mn 0.541 0.959 0.750  4.50
Mn 0.781 0.719 0.250  4.50
Sb 0.916 0.584 0.750  -0.23
Sb 0.084 0.416 0.250  -0.23
O 0.223 0.982 0.452  -0.01
O 0.482 0.723 0.952  -0.01
O 0.777 0.018 0.548  -0.01
O 0.518 0.277 0.048  -0.01

Results
Fermi-level density of states = 2.61 states/eV/cell
E_tot = -6.69 eV per atom
Total magnetic moment = 17.8 μB per cell